Record 1
VASP calculation (PBE) on an optimized crystal structure of NaZrCuBr6.

The total energy is -68.14 eV per cell.

It has space group P-31c (No. 163), with a = 6.8665 Å, b = 6.8665 Å, c = 13.2992 Å, α = 90.00°, β = 90.00° and γ = 120.00°. The inequivalent atoms are Na at (0.0000, 0.0000, 0.0000), Zr at (0.3333, 0.6667, 0.2500), Cu at (0.3333, 0.6667, 0.7500) and Br at (0.0040, 0.3620, 0.1356).

***

Record 2
VASP calculation (PBE) on an optimized crystal structure of LiZnOsRh2.

The total energy is -23.59 eV per cell. The calculation puts the formation energy at 1106 meV/atom.

It has space group P4/mmm (No. 123), with a = 4.5410 Å, b = 4.5410 Å, c = 3.9027 Å, α = 90.00°, β = 90.00° and γ = 90.00°. The inequivalent atoms are Li at (0.0000, 0.0000, 0.0000), Zn at (0.0000, 0.0000, 0.5000), Os at (0.5000, 0.5000, 0.0000) and Rh at (0.0000, 0.5000, 0.5000).

***

Record 3
VASP calculation (PBE) on an optimized crystal structure of Ac3Hg2.

Its polymorph energy (0 for the lowest one) is 0.0 meV per atom. The total energy is -29.63 eV per cell. The calculation puts the formation energy at -377 meV/atom.

It has space group P4/mmm (No. 123), with a = 4.0372 Å, b = 4.0372 Å, c = 21.8268 Å, α = 90.00°, β = 90.00° and γ = 90.00°. The inequivalent atoms are Ac at (0.0000, 0.0000, 0.0000), Ac at (0.0000, 0.0000, 0.1857), Ac at (0.0000, 0.0000, 0.3720), Ac at (0.5000, 0.5000, 0.5000), Hg at (0.5000, 0.5000, 0.0930) and Hg at (0.5000, 0.5000, 0.2808).

***

Record 4
VASP calculation (PBE) on an optimized crystal structure of AlSbAu14.

The total energy is -107.79 eV per cell.

It has space group Amm2 (No. 38), with a = 9.3558 Å, b = 6.1599 Å, c = 10.2212 Å, α = 90.00°, β = 90.00° and γ = 90.00°. The inequivalent atoms are Al at (0.0000, 0.0000, 0.0000), Sb at (0.0000, 0.0000, 0.5021), Au at (0.0000, 0.2421, 0.2499), Au at (0.2386, 0.0000, 0.8336), Au at (0.2475, 0.2414, 0.0801), Au at (0.2575, 0.0000, 0.3320), Au at (0.5000, 0.0000, 0.1590), Au at (0.5000, 0.0000, 0.6566) and Au at (0.5000, 0.2422, 0.9082).

***

Record 5
VASP calculation (PBE) on an optimized crystal structure of CrBMo3.

Its polymorph energy (0 for the lowest one) is 1516.9 meV per atom. The total energy is -39.05 eV per cell. The calculation puts the formation energy at 1950 meV/atom.

It has space group Pm-3m (No. 221), with a = 4.4109 Å, b = 4.4109 Å, c = 4.4109 Å, α = 90.00°, β = 90.00° and γ = 90.00°. The inequivalent atoms are Cr at (0.0000, 0.0000, 0.0000), B at (0.5000, 0.5000, 0.5000) and Mo at (0.0000, 0.0000, 0.5000).

***

Record 6
VASP calculation (PBE) on an optimized crystal structure of ZnOs.

The total energy is -94.35 eV per cell. The calculation puts the formation energy at 355 meV/atom.

It has space group P2_12_12_1 (No. 19), with a = 4.4310 Å, b = 7.0394 Å, c = 7.7347 Å, α = 90.00°, β = 90.00° and γ = 90.00°. The inequivalent atoms are Zn at (0.2449, 0.2152, 0.0938), Zn at (0.2467, 0.4851, 0.8526), Os at (0.1429, 0.8407, 0.9280) and Os at (0.2487, 0.8645, 0.2557).

***

Record 7
VASP calculation (PBE) on an optimized crystal structure of NaBiH2O4.

The total energy is -77.81 eV per cell.

It has space group I222 (No. 23), with a = 4.7355 Å, b = 5.9269 Å, c = 6.3083 Å, α = 90.00°, β = 90.00° and γ = 90.00°. The inequivalent atoms are Na at (0.0000, 0.0000, 0.0000), Bi at (0.0000, 0.0000, 0.5000), H at (0.0000, 0.5000, 0.1978) and O at (0.1999, 0.3682, 0.7939).

***

Record 8
VASP calculation (PBE) on an optimized crystal structure of BeCu6.

The total energy is -84.31 eV per cell. The calculation puts the formation energy at 28 meV/atom.

It has space group R-3m (No. 166, hexagonal axes), with a = 4.0186 Å, b = 4.0186 Å, c = 17.1852 Å, α = 90.00°, β = 90.00° and γ = 120.00°. The inequivalent atoms are Be at (0.0000, 0.0000, 0.0000), Cu at (0.0000, 0.0000, 0.1390), Cu at (0.0000, 0.0000, 0.2882) and Cu at (0.0000, 0.0000, 0.4285).

***

Record 9
VASP calculation (PBE) on an optimized crystal structure of LiTbNd.

Its polymorph energy (0 for the lowest one) is 76.6 meV per atom. The total energy is -21.85 eV per cell. The calculation puts the formation energy at 129 meV/atom.

It has space group P4/nmm (No. 129, origin choice 2), with a = 3.6368 Å, b = 3.6368 Å, c = 13.4058 Å, α = 90.00°, β = 90.00° and γ = 90.00°. The inequivalent atoms are Li at (0.2500, 0.7500, 0.0000), Tb at (0.2500, 0.2500, 0.4059) and Nd at (0.2500, 0.2500, 0.7824).

***

Record 10
VASP calculation (PBE) on an optimized crystal structure of La12Dy3Y5.

The total energy is -690.98 eV per cell. The calculation puts the formation energy at 944 meV/atom.

It has space group Ia-3d (No. 230), with a = 18.9245 Å, b = 18.9245 Å, c = 18.9245 Å, α = 90.00°, β = 90.00° and γ = 90.00°. The inequivalent atoms are La at (0.0128, 0.0862, 0.6485), Dy at (0.0000, 0.2500, 0.1250), Y at (0.0000, 0.0000, 0.0000) and Y at (0.0000, 0.2500, 0.3750).

***

Record 11
VASP calculation (PBE) on an optimized crystal structure of Pr6YEr8.

The total energy is -209.42 eV per cell. The calculation puts the formation energy at 122 meV/atom.

It has space group R-3 (No. 148, hexagonal axes), with a = 9.1008 Å, b = 9.1008 Å, c = 21.0167 Å, α = 90.00°, β = 90.00° and γ = 120.00°. The inequivalent atoms are Pr at (0.0610, 0.2485, 0.2117), Y at (0.0000, 0.0000, 0.5000), Er at (0.0000, 0.0000, 0.0767) and Er at (0.0805, 0.5584, 0.3072).

***

Record 12
VASP calculation (PBE) on an optimized crystal structure of FeTcP2.

Its polymorph energy (0 for the lowest one) is 156.0 meV per atom. The total energy is -30.66 eV per cell. The calculation puts the formation energy at -253 meV/atom.

It has space group P4/mmm (No. 123), with a = 2.8975 Å, b = 2.8975 Å, c = 5.6515 Å, α = 90.00°, β = 90.00° and γ = 90.00°. The inequivalent atoms are Fe at (0.0000, 0.0000, 0.0000), Tc at (0.0000, 0.0000, 0.5000) and P at (0.5000, 0.5000, 0.2408).

***

Record 13
VASP calculation (PBE) on an optimized crystal structure of NiP2Cl.

Its polymorph energy (0 for the lowest one) is 549.5 meV per atom. The total energy is -34.20 eV per cell.

It has space group I4/mmm (No. 139), with a = 3.2541 Å, b = 3.2541 Å, c = 14.8611 Å, α = 90.00°, β = 90.00° and γ = 90.00°. The inequivalent atoms are Ni at (0.0000, 0.0000, 0.0000), P at (0.0000, 0.5000, 0.2500) and Cl at (0.0000, 0.0000, 0.5000).

***

Record 14
VASP calculation (PBE) on an optimized crystal structure of Nb2ZnHPt.

The total energy is -32.09 eV per cell.

It has space group P4/mmm (No. 123), with a = 4.0381 Å, b = 4.0381 Å, c = 4.1859 Å, α = 90.00°, β = 90.00° and γ = 90.00°. The inequivalent atoms are Nb at (0.0000, 0.5000, 0.0000), Zn at (0.0000, 0.0000, 0.5000), H at (0.0000, 0.0000, 0.0000) and Pt at (0.5000, 0.5000, 0.5000).

***

Record 15
VASP calculation (PBE) on an optimized crystal structure of TiVIn2.

Its polymorph energy (0 for the lowest one) is 0.0 meV per atom. The total energy is -22.27 eV per cell. The calculation puts the formation energy at 55 meV/atom.

It has space group P4/mmm (No. 123), with a = 4.1327 Å, b = 4.1327 Å, c = 4.2842 Å, α = 90.00°, β = 90.00° and γ = 90.00°. The inequivalent atoms are Ti at (0.0000, 0.0000, 0.0000), V at (0.5000, 0.5000, 0.0000) and In at (0.0000, 0.5000, 0.5000).

***

Record 16
VASP calculation (PBE) on an optimized crystal structure of GeRuN.

Its polymorph energy (0 for the lowest one) is 135.1 meV per atom. The total energy is -42.99 eV per cell.

It has space group P1 (No. 1), with a = 2.8559 Å, b = 5.1086 Å, c = 5.4072 Å, α = 103.75°, β = 99.13° and γ = 94.85°. The inequivalent atoms are Ge at (0.0000, 0.0000, 0.0000), Ge at (0.0190, 0.5347, 0.4057), Ru at (0.4211, 0.4146, 0.9244), Ru at (0.5990, 0.9361, 0.3738), N at (0.2087, 0.2235, 0.5313) and N at (0.9271, 0.6383, 0.7895).

***

Record 17
VASP calculation (PBE) on an optimized crystal structure of LaMo2Se.

The total energy is -29.11 eV per cell.

It has space group P4/mmm (No. 123), with a = 3.9905 Å, b = 3.9905 Å, c = 5.2297 Å, α = 90.00°, β = 90.00° and γ = 90.00°. The inequivalent atoms are La at (0.0000, 0.0000, 0.0000), Mo at (0.0000, 0.5000, 0.5000) and Se at (0.5000, 0.5000, 0.0000).

***

Record 18
VASP calculation (PBE) on an optimized crystal structure of PuZrNpO6.

The total energy is -185.93 eV per cell.

It has space group P-31c (No. 163), with a = 5.6566 Å, b = 5.6566 Å, c = 9.5940 Å, α = 90.00°, β = 90.00° and γ = 120.00°. The inequivalent atoms are Pu at (0.0000, 0.0000, 0.0000), Zr at (0.3333, 0.6667, 0.2500), Np at (0.3333, 0.6667, 0.7500) and O at (0.0048, 0.3484, 0.1350).

***

Record 19
VASP calculation (PBE) on an optimized crystal structure of Tb2Pr9Tl.

The total energy is -55.24 eV per cell. The calculation puts the formation energy at -50 meV/atom.

It has space group P4/mmm (No. 123), with a = 5.1112 Å, b = 5.1112 Å, c = 15.6670 Å, α = 90.00°, β = 90.00° and γ = 90.00°. The inequivalent atoms are Tb at (0.0000, 0.0000, 0.1683), Pr at (0.0000, 0.5000, 0.0000), Pr at (0.0000, 0.5000, 0.3379), Pr at (0.5000, 0.5000, 0.1693), Pr at (0.5000, 0.5000, 0.5000) and Tl at (0.0000, 0.0000, 0.5000).

***

Record 20
VASP calculation (PBE) on an optimized crystal structure of Zr4ReSe.

The total energy is -186.49 eV per cell.

It has space group F-43m (No. 216), with a = 7.9280 Å, b = 7.9280 Å, c = 7.9280 Å, α = 90.00°, β = 90.00° and γ = 90.00°. The inequivalent atoms are Zr at (0.1232, 0.1232, 0.1232), Re at (0.2500, 0.2500, 0.7500) and Se at (0.0000, 0.0000, 0.5000).

***

| no. | magnetization (μB/cell) |
| --- | --- |
| 1 | 0.25 |
| 2 | 3.20 |
| 3 | 0.82 |
| 4 | 0.00 |
| 5 | 0.00 |
| 6 | 0.00 |
| 7 | 0.00 |
| 8 | 0.00 |
| 9 | 0.00 |
| 10 | 0.00 |
| 11 | 0.00 |
| 12 | 0.63 |
| 13 | 1.31 |
| 14 | 0.00 |
| 15 | 0.25 |
| 16 | 0.00 |
| 17 | 0.00 |
| 18 | 14.00 |
| 19 | 0.00 |
| 20 | 0.00 |